No. 1
This record from the Alexandria database describes a relaxed CaCdS2N crystal. The functional is PBE.

a b c (Å): 5.1175 5.1175 4.2139
angles (deg): 90.00 90.00 90.00
With the nearest neighbours (Å) after each atom.
Fractional positions:
1 Ca 0.5000 0.5000 0.5000  8 S 3.31, 4 N 3.62
2 S 0.0000 0.5000 0.0000  2 Cd 2.56
3 S 0.5000 0.0000 0.0000  2 Cd 2.56
4 N 0.0000 0.0000 0.5000  2 Cd 2.11
5 Cd 0.0000 0.0000 0.0000  2 N 2.11

- Space group: P4/mmm (123)
- ΔE to the lowest computed polymorph: 0 meV per atom
- Formation energy without anion corrections: 0.151 eV/atom

No. 2
This record from the Alexandria database describes a relaxed ZrRe2Ag crystal. The functional is PBE.

a b c (Å): 5.3442 5.3442 2.6417
angles (deg): 90.00 90.00 115.22
With the nearest neighbours (Å) after each atom.
Fractional positions:
1 Re 0.5000 0.5000 0.0000  4 Re 2.64-2.86
2 Re 0.0000 0.0000 0.0000  4 Re 2.64-2.86
3 Zr 0.5000 0.0000 0.5000  2 Zr 2.64, 2 Ag 2.86
4 Ag 0.0000 0.5000 0.5000  2 Ag 2.64, 2 Zr 2.86

- Space group: Cmmm (65)
- ΔE to the lowest computed polymorph: 345 meV per atom
- Energy of formation: 0.462 eV per atom

No. 3
This record from the Alexandria database describes a relaxed DyHoEr6Tm2 crystal. The functional is PBE.

a b c (Å): 9.4058 8.6492 8.6492
angles (deg): 117.76 93.79 93.79
With the nearest neighbours (Å) after each atom.
Fractional positions:
1 Er 0.6192 0.4950 0.7093  4 Er 3.16-3.48, 3 Tm 3.21-3.36, 2 Ho 3.36-3.48
2 Er 0.8164 0.4307 0.9800  4 Er 3.16-3.54, 2 Tm 3.33-3.53, 1 Ho 3.42, 1 Dy 3.51
3 Er 0.8808 0.2907 0.5050  4 Er 3.16-3.48, 3 Tm 3.21-3.36, 2 Ho 3.36-3.48
4 Er 0.3164 0.9800 0.4307  4 Er 3.16-3.54, 2 Tm 3.33-3.53, 1 Ho 3.42, 1 Dy 3.51
5 Er 0.3808 0.5050 0.2907  4 Er 3.16-3.48, 3 Tm 3.21-3.36, 2 Ho 3.36-3.48
6 Er 0.4436 0.2478 0.8762  7 Er 3.34-3.67, 1 Tm 3.42, 1 Dy 3.62
7 Er 0.9436 0.8762 0.2478  7 Er 3.34-3.67, 1 Tm 3.42, 1 Dy 3.62
8 Er 0.1836 0.5693 0.0200  4 Er 3.16-3.54, 2 Tm 3.33-3.53, 1 Ho 3.42, 1 Dy 3.51
9 Er 0.6836 0.0200 0.5693  4 Er 3.16-3.54, 2 Tm 3.33-3.53, 1 Ho 3.42, 1 Dy 3.51
10 Er 0.0564 0.1238 0.7522  7 Er 3.34-3.67, 1 Tm 3.42, 1 Dy 3.62
11 Er 0.5564 0.7522 0.1238  7 Er 3.34-3.67, 1 Tm 3.42, 1 Dy 3.62
12 Er 0.1192 0.7093 0.4950  4 Er 3.16-3.48, 3 Tm 3.21-3.36, 2 Ho 3.36-3.48
13 Tm 0.5450 0.1965 0.3026  6 Er 3.21-3.53, 2 Dy 3.33-3.36, 1 Ho 3.49
14 Tm 0.9550 0.6974 0.8035  6 Er 3.21-3.53, 2 Dy 3.33-3.36, 1 Ho 3.49
15 Tm 0.0450 0.3026 0.1965  6 Er 3.21-3.53, 2 Dy 3.33-3.36, 1 Ho 3.49
16 Tm 0.4550 0.8035 0.6974  6 Er 3.21-3.53, 2 Dy 3.33-3.36, 1 Ho 3.49
17 Ho 0.7500 0.5913 0.4087  6 Er 3.36-3.48, 2 Tm 3.49
18 Ho 0.2500 0.4087 0.5913  6 Er 3.36-3.48, 2 Tm 3.49
19 Dy 0.2500 0.9754 0.0246  4 Tm 3.33-3.36, 4 Er 3.51-3.62
20 Dy 0.7500 0.0246 0.9754  4 Tm 3.33-3.36, 4 Er 3.51-3.62

- Space group: C2/c (15)
- Energy of formation: 0.123 eV per atom

No. 4
This record from the Alexandria database describes a relaxed Li3GaSn crystal. The functional is PBE.

a b c (Å): 6.8197 6.8197 6.8197
angles (deg): 86.93 114.01 130.29
With the nearest neighbours (Å) after each atom.
Fractional positions:
1 Li 0.0347 0.7993 0.2699  1 Ga 2.65, 2 Li 2.87
2 Li 0.5294 0.7648 0.7301  1 Ga 2.65, 2 Li 2.87
3 Li 0.0762 0.2813 0.2949  2 Ga 2.62, 3 Sn 2.76-2.88
4 Li 0.0347 0.2648 0.7354  1 Ga 2.65, 2 Li 2.87
5 Li 0.5294 0.2993 0.2646  1 Ga 2.65, 2 Li 2.87
6 Li 0.9864 0.7813 0.7051  2 Ga 2.62, 3 Sn 2.76-2.88
7 Ga 0.5310 0.0310 0.0000  4 Li 2.62-2.65, 2 Sn 2.86-2.87, 2 Ga 2.87
8 Ga 0.0310 0.5310 0.0000  4 Li 2.62-2.65, 2 Sn 2.86-2.87, 2 Ga 2.87
9 Sn 0.6158 0.7819 0.3339  7 Li 2.76-2.99, 2 Ga 2.86-2.87
10 Sn 0.4481 0.2819 0.6661  7 Li 2.76-2.99, 2 Ga 2.86-2.87

- Space group: Ima2 (46)
- ΔE to the lowest computed polymorph: 175 meV per atom
- Energy of formation: -0.122 eV per atom

No. 5
This record from the Alexandria database describes a relaxed K2Cu3Ge5O14 crystal. The functional is PBE.

a b c (Å): 6.3802 7.3165 7.9886
angles (deg): 80.38 70.29 78.86
With the nearest neighbours (Å) after each atom.
Fractional positions:
1 O 0.5978 0.8382 0.5666  1 Ge 1.76, 1 Cu 1.93
2 O 0.3164 0.9003 0.9080  1 Ge 1.88, 2 Cu 1.93-1.94
3 O 0.7260 0.5018 0.7674  2 Ge 1.79
4 O 0.2328 0.1788 0.1153  1 Ge 1.76
5 O 0.6836 0.0997 0.0920  1 Ge 1.88, 2 Cu 1.93-1.94
6 O 0.4022 0.1618 0.4334  1 Ge 1.76, 1 Cu 1.93
7 O 0.5772 0.1730 0.7798  2 Ge 1.76-1.96
8 O 0.9446 0.8116 0.2168  1 Ge 1.77, 1 Cu 1.98
9 O 0.7672 0.8212 0.8847  1 Ge 1.76
10 O 0.0554 0.1884 0.7832  1 Ge 1.77, 1 Cu 1.98
11 O 0.4228 0.8270 0.2202  2 Ge 1.76-1.96
12 O 0.2740 0.4982 0.2326  2 Ge 1.79
13 O 0.9245 0.2835 0.4564  2 Ge 1.81
14 O 0.0755 0.7165 0.5436  2 Ge 1.81
15 Ge 0.2142 0.2640 0.3136  4 O 1.76-1.81
16 Ge 0.1718 0.7282 0.3024  4 O 1.76-1.81
17 Ge 0.7858 0.7360 0.6864  4 O 1.76-1.81
18 Ge 0.8282 0.2718 0.6976  4 O 1.76-1.81
19 Ge 0.5000 0.0000 0.0000  6 O 1.88-1.99
20 K 0.7246 0.4840 0.1620  4 O 2.72-3.03
21 K 0.2754 0.5160 0.8380  4 O 2.72-3.03
22 Cu 0.3439 0.0319 0.6724  4 O 1.93-1.98
23 Cu 0.0000 0.0000 0.0000  4 O 1.94-2.00
24 Cu 0.6561 0.9681 0.3276  4 O 1.93-1.98

- Space group: P-1 (2)
- Formation energy without anion corrections: -1.420 eV/atom

No. 6
This record from the Alexandria database describes a relaxed RuI crystal. The functional is PBE.

a b c (Å): 8.2134 12.6318 7.8993
angles (deg): 90.00 90.00 90.00
With the nearest neighbours (Å) after each atom.
Fractional positions:
1 Ru 0.0000 0.6086 0.5000  4 I 2.60-2.67, 3 Ru 2.74-2.88
2 Ru 0.2500 0.3586 0.7500  4 I 2.60-2.67, 3 Ru 2.74-2.88
3 Ru 0.5000 0.3914 0.0000  4 I 2.60-2.67, 3 Ru 2.74-2.88
4 Ru 0.5000 0.6086 0.0000  4 I 2.60-2.67, 3 Ru 2.74-2.88
5 Ru 0.7500 0.6414 0.7500  4 I 2.60-2.67, 3 Ru 2.74-2.88
6 Ru 0.5000 0.8914 0.5000  4 I 2.60-2.67, 3 Ru 2.74-2.88
7 Ru 0.5000 0.1086 0.5000  4 I 2.60-2.67, 3 Ru 2.74-2.88
8 Ru 0.7500 0.1414 0.2500  4 I 2.60-2.67, 3 Ru 2.74-2.88
9 Ru 0.2500 0.8586 0.2500  4 I 2.60-2.67, 3 Ru 2.74-2.88
10 Ru 0.0000 0.3914 0.5000  4 I 2.60-2.67, 3 Ru 2.74-2.88
11 Ru 0.0000 0.1086 0.0000  4 I 2.60-2.67, 3 Ru 2.74-2.88
12 Ru 0.0000 0.8914 0.0000  4 I 2.60-2.67, 3 Ru 2.74-2.88
13 Ru 0.7500 0.3586 0.2500  4 I 2.60-2.67, 3 Ru 2.74-2.88
14 Ru 0.7500 0.8586 0.7500  4 I 2.60-2.67, 3 Ru 2.74-2.88
15 Ru 0.2500 0.6414 0.2500  4 I 2.60-2.67, 3 Ru 2.74-2.88
16 Ru 0.2500 0.1414 0.7500  4 I 2.60-2.67, 3 Ru 2.74-2.88
17 I 0.2692 0.0000 0.0000  4 Ru 2.60-2.67
18 I 0.7692 0.5000 0.0000  4 Ru 2.60-2.67
19 I 0.9808 0.7500 0.2500  4 Ru 2.60-2.67
20 I 0.4808 0.2500 0.2500  4 Ru 2.60-2.67
21 I 0.2308 0.5000 0.0000  4 Ru 2.60-2.67
22 I 0.0192 0.7500 0.7500  4 Ru 2.60-2.67
23 I 0.7308 0.0000 0.0000  4 Ru 2.60-2.67
24 I 0.2308 0.0000 0.5000  4 Ru 2.60-2.67
25 I 0.4808 0.7500 0.7500  4 Ru 2.60-2.67
26 I 0.0192 0.2500 0.2500  4 Ru 2.60-2.67
27 I 0.9808 0.2500 0.7500  4 Ru 2.60-2.67
28 I 0.5192 0.2500 0.7500  4 Ru 2.60-2.67
29 I 0.5192 0.7500 0.2500  4 Ru 2.60-2.67
30 I 0.7308 0.5000 0.5000  4 Ru 2.60-2.67
31 I 0.2692 0.5000 0.5000  4 Ru 2.60-2.67
32 I 0.7692 0.0000 0.5000  4 Ru 2.60-2.67

- Space group: Fddd (70)
- ΔE to the lowest computed polymorph: 401 meV per atom
- Formation energy without anion corrections: 0.634 eV/atom

No. 7
This record from the Alexandria database describes a relaxed Li2Er3Pd3 crystal. The functional is PBE.

a b c (Å): 5.4799 8.2991 8.2991
angles (deg): 120.00 90.00 90.00
With the nearest neighbours (Å) after each atom.
Fractional positions:
1 Er 0.2500 0.7398 0.0000  5 Pd 2.86-2.96
2 Er 0.7500 0.0000 0.2602  5 Pd 2.86-2.96
3 Er 0.2500 0.2602 0.2602  5 Pd 2.86-2.96
4 Er 0.2500 0.0000 0.7398  5 Pd 2.86-2.96
5 Er 0.7500 0.7398 0.7398  5 Pd 2.86-2.96
6 Er 0.7500 0.2602 0.0000  5 Pd 2.86-2.96
7 Li 0.5000 0.6667 0.3333  2 Li 2.74, 6 Pd 2.89
8 Li 0.0000 0.6667 0.3333  2 Li 2.74, 6 Pd 2.89
9 Li 0.0000 0.3333 0.6667  2 Li 2.74, 6 Pd 2.89
10 Li 0.5000 0.3333 0.6667  2 Li 2.74, 6 Pd 2.89
11 Pd 0.7500 0.6052 0.0000  5 Er 2.86-2.96, 4 Li 2.89
12 Pd 0.2500 0.6052 0.6052  5 Er 2.86-2.96, 4 Li 2.89
13 Pd 0.2500 0.3948 0.0000  5 Er 2.86-2.96, 4 Li 2.89
14 Pd 0.2500 0.0000 0.3948  5 Er 2.86-2.96, 4 Li 2.89
15 Pd 0.7500 0.3948 0.3948  5 Er 2.86-2.96, 4 Li 2.89
16 Pd 0.7500 0.0000 0.6052  5 Er 2.86-2.96, 4 Li 2.89

- Space group: P6_3/mcm (193)
- Energy of formation: -0.667 eV per atom

No. 8
This record from the Alexandria database describes a relaxed Na2Tm2OsO6 crystal. The functional is PBE.

a b c (Å): 5.6503 5.6503 5.8916
angles (deg): 97.76 97.76 120.13
With the nearest neighbours (Å) after each atom.
Fractional positions:
1 O 0.6376 0.9557 0.3081  1 Os 2.08, 2 Tm 2.23-2.26
2 O 0.7484 0.7484 0.7042  1 Os 2.09, 2 Tm 2.24
3 O 0.9557 0.6376 0.3081  1 Os 2.08, 2 Tm 2.23-2.26
4 O 0.3624 0.0443 0.6919  1 Os 2.08, 2 Tm 2.23-2.26
5 O 0.2516 0.2516 0.2958  1 Os 2.09, 2 Tm 2.24
6 O 0.0443 0.3624 0.6919  1 Os 2.08, 2 Tm 2.23-2.26
7 Na 0.1505 0.8495 0.0000  4 O 2.40-2.43
8 Na 0.8495 0.1505 0.0000  4 O 2.40-2.43
9 Os 0.0000 0.0000 0.5000  6 O 2.08-2.09
10 Tm 0.6618 0.3382 0.5000  6 O 2.23-2.26
11 Tm 0.3382 0.6618 0.5000  6 O 2.23-2.26

- Space group: C2/m (12)
- Formation energy without anion corrections: -2.240 eV/atom

No. 9
This record from the Alexandria database describes a relaxed CeSmHfN3 crystal. The functional is PBE.

a b c (Å): 3.2881 6.0926 9.7147
angles (deg): 96.47 90.00 90.00
With the nearest neighbours (Å) after each atom.
Fractional positions:
1 N 0.2500 0.7165 0.5713  2 Ce 2.30, 2 Sm 2.54
2 N 0.7500 0.2835 0.4287  2 Ce 2.30, 2 Sm 2.54
3 N 0.2500 0.5754 0.8823  3 Hf 2.10-2.29
4 N 0.7500 0.4246 0.1177  3 Hf 2.10-2.29
5 N 0.2500 0.1071 0.8337  2 Hf 2.16
6 N 0.7500 0.8929 0.1663  2 Hf 2.16
7 Hf 0.7500 0.3211 0.9042  5 N 2.10-2.29
8 Hf 0.2500 0.6789 0.0958  5 N 2.10-2.29
9 Sm 0.7500 0.8030 0.7693  6 N 2.48-2.54
10 Sm 0.2500 0.1970 0.2307  6 N 2.48-2.54
11 Ce 0.2500 0.2983 0.5948  2 N 2.30
12 Ce 0.7500 0.7017 0.4052  2 N 2.30

- Space group: P2_1/m (11)
- Formation energy without anion corrections: -1.379 eV/atom

No. 10
This record from the Alexandria database describes a relaxed Sm3TlZn crystal. The functional is PBE.

a b c (Å): 5.2901 5.2899 10.5024
angles (deg): 90.00 75.41 90.00
With the nearest neighbours (Å) after each atom.
Fractional positions:
1 Sm 0.5739 0.2500 0.5005  4 Tl 3.26-3.27, 4 Zn 3.29-3.30
2 Sm 0.3864 0.2500 0.8755  2 Zn 3.23, 2 Tl 3.26
3 Sm 0.8862 0.7500 0.8760  2 Zn 3.23, 2 Tl 3.26
4 Sm 0.2619 0.7500 0.1245  2 Zn 3.23, 2 Tl 3.26
5 Sm 0.0744 0.7500 0.4995  4 Tl 3.26-3.27, 4 Zn 3.29-3.30
6 Sm 0.7622 0.2500 0.1240  2 Zn 3.23, 2 Tl 3.26
7 Zn 0.6710 0.7500 0.3065  8 Sm 3.23-3.30
8 Zn 0.9774 0.2500 0.6935  8 Sm 3.23-3.30
9 Tl 0.4802 0.7500 0.6880  8 Sm 3.26-3.27
10 Tl 0.1681 0.2500 0.3120  8 Sm 3.26-3.27

- Space group: Cmcm (63)
- ΔE to the lowest computed polymorph: 0 meV per atom
- Energy of formation: -0.237 eV per atom

No. 11
This record from the Alexandria database describes a relaxed LiHgOs crystal. The functional is PBE.

a b c (Å): 7.0553 7.0553 7.0553
angles (deg): 157.89 157.89 31.46
With the nearest neighbours (Å) after each atom.
Fractional positions:
1 Li 0.3267 0.3267 0.0000  4 Li 2.71, 4 Os 2.78, 4 Hg 2.98
2 Hg 0.9952 0.9952 0.0000  4 Hg 2.71, 4 Li 2.98
3 Os 0.6782 0.6782 0.0000  4 Os 2.71, 4 Li 2.78

- Space group: I4mm (107)
- ΔE to the lowest computed polymorph: 97 meV per atom
- Energy of formation: 0.517 eV per atom